# PBE Na3TlCd4, optimized geometry
# calculated density	5.76	g/cm3
# ΔH_f (0 K)	-75	meV/atom
# electronic total energy	-1.323	eV per atom
# E above lowest polymorph	0	meV/atom
data_Na3TlCd4
_space_group_name_H-M_alt 'P -1'
_space_group_IT_number 2
_cell_length_a 3.207
_cell_length_b 5.993
_cell_length_c 11.078
_cell_angle_alpha 101.52
_cell_angle_beta 90.33
_cell_angle_gamma 90.97
loop_
_space_group_symop_operation_xyz
'x,y,z'
'-x,-y,-z'
loop_
_atom_site_label
_atom_site_fract_x
_atom_site_fract_y
_atom_site_fract_z
Na1 0.000 0.000 0.000
Na2 0.001 0.583 0.735
Tl1 0.500 0.500 0.000
Cd1 0.490 0.249 0.500
Cd2 0.500 0.088 0.748

---

# PBE Ac2HoPtO6, optimized geometry
# raw formation energy	-2622	meV per atom
# calculated density	9.33	g/cm3
# electronic total energy	-7.481	eV per atom
data_Ac2HoPtO6
_space_group_name_H-M_alt 'C 1 2/m 1'
_space_group_IT_number 12
_cell_length_a 11.908
_cell_length_b 5.659
_cell_length_c 5.218
_cell_angle_alpha 90.00
_cell_angle_beta 112.90
_cell_angle_gamma 90.00
loop_
_space_group_symop_operation_xyz
'x,y,z'
'-x,-y,-z'
'-x,y,-z'
'x,-y,z'
'x+1/2,y+1/2,z'
'-x+1/2,-y+1/2,-z'
'-x+1/2,y+1/2,-z'
'x+1/2,-y+1/2,z'
loop_
_atom_site_label
_atom_site_fract_x
_atom_site_fract_y
_atom_site_fract_z
Ac1 0.240 0.000 0.218
Ho1 0.000 0.500 0.000
Pt1 0.000 0.000 0.500
O1 0.084 0.239 0.794
O2 0.195 0.500 0.295

---

# PBE Zr2SnAs, optimized geometry
# calculated density	4.96	g/cm3
# ΔH_f (0 K)	71	meV/atom
# electronic total energy	-6.366	eV per atom
# E above lowest polymorph	828	meV/atom
data_Zr2SnAs
_space_group_name_H-M_alt 'I -4 2 d'
_space_group_IT_number 122
_space_group_name_Hall 'I -4 2bw'
_cell_length_a 6.295
_cell_length_b 6.295
_cell_length_c 12.722
_cell_angle_alpha 90.00
_cell_angle_beta 90.00
_cell_angle_gamma 90.00
loop_
_atom_site_label
_atom_site_fract_x
_atom_site_fract_y
_atom_site_fract_z
Zr1 0.220 0.250 0.125
Sn1 0.000 0.000 0.500
As1 0.000 0.000 0.000